No. 1
The following is a PBE-GGA calculation of a relaxed structure of Sr4Si2N, from the Alexandria database.

Results
Uncorrected energy (eV per atom): -3.9712
Magnetization (μB/cell): 0.00
Volume (Å³/cell): 207.7
Fermi-level density of states (states/eV/f.u.): 6.71

Lattice parameters (Å, degrees): 8.274 8.274 8.274 142.59 142.59 53.94
Positions (direct):
Sr (0.000, 0.500, 0.500)
Sr (0.170, 0.170, 0.000)
Sr (0.500, 0.000, 0.500)
Sr (0.830, 0.830, 0.000)
Si (0.383, 0.383, 0.000)
Si (0.617, 0.617, 0.000)
N (0.000, 0.000, 0.000)



No. 2
The following is a PBE-GGA calculation of a relaxed structure of SrSiTe2N, from the Alexandria database.

Results
Uncorrected energy (eV per atom): -3.2437
Magnetization (μB/cell): 2.43
Volume (Å³/cell): 180.8
Fermi-level density of states (states/eV/f.u.): 4.51

Lattice parameters (Å, degrees): 6.179 6.179 4.734 90.00 90.00 90.00
Positions (direct):
Sr (0.000, 0.000, 0.000)
Si (0.500, 0.500, 0.500)
Te (0.000, 0.500, 0.000)
Te (0.500, 0.000, 0.000)
N (0.000, 0.000, 0.500)



No. 3
The following is a PBE-GGA calculation of a relaxed structure of SrSiTe2N, from the Alexandria database.

Results
Uncorrected energy (eV per atom): -4.6869
Magnetization (μB/cell): 0.00
Volume (Å³/cell): 117.9
Fermi-level density of states (states/eV/f.u.): 2.64

Lattice parameters (Å, degrees): 5.896 5.896 3.393 90.00 90.00 90.00
Positions (direct):
Sr (0.000, 0.000, 0.000)
Si (0.500, 0.500, 0.500)
Te (0.000, 0.500, 0.500)
Te (0.500, 0.000, 0.500)
N (0.500, 0.500, 0.000)



No. 4
The following is a PBE-GGA calculation of a relaxed structure of SrSiTeN2, from the Alexandria database.

Results
Uncorrected energy (eV per atom): -4.8863
Magnetization (μB/cell): 2.04
Volume (Å³/cell): 91.9
Fermi-level density of states (states/eV/f.u.): 2.07

Lattice parameters (Å, degrees): 4.133 4.133 5.377 90.00 90.00 90.00
Positions (direct):
Sr (0.000, 0.000, 0.000)
Si (0.500, 0.500, 0.500)
Te (0.500, 0.500, 0.000)
N (0.000, 0.500, 0.500)
N (0.500, 0.000, 0.500)



No. 5
The following is a PBE-GGA calculation of a relaxed structure of SrSiTeN2, from the Alexandria database.

Results
Uncorrected energy (eV per atom): -3.6208
Magnetization (μB/cell): 0.51
Volume (Å³/cell): 132.4
Fermi-level density of states (states/eV/f.u.): 4.26

Lattice parameters (Å, degrees): 4.451 4.451 6.681 90.00 90.00 90.00
Positions (direct):
Sr (0.000, 0.000, 0.000)
Si (0.500, 0.500, 0.500)
Te (0.000, 0.000, 0.500)
N (0.000, 0.500, 0.000)
N (0.500, 0.000, 0.000)



No. 6
The following is a PBE-GGA calculation of a relaxed structure of SrTm2SiN4, from the Alexandria database.

Results
Uncorrected energy (eV per atom): -7.5860
Magnetization (μB/cell): 0.00
Volume (Å³/cell): 224.1

Lattice parameters (Å, degrees): 6.108 6.108 11.487 90.00 90.00 148.48
Positions (direct):
Sr (0.092, 0.908, 0.750)
Sr (0.908, 0.092, 0.250)
Tm (0.369, 0.631, 0.540)
Tm (0.369, 0.631, 0.960)
Tm (0.631, 0.369, 0.040)
Tm (0.631, 0.369, 0.460)
Si (0.182, 0.818, 0.250)
Si (0.818, 0.182, 0.750)
N (0.000, 0.000, 0.000)
N (0.000, 0.000, 0.500)
N (0.259, 0.741, 0.123)
N (0.259, 0.741, 0.377)
N (0.401, 0.599, 0.750)
N (0.599, 0.401, 0.250)
N (0.741, 0.259, 0.623)
N (0.741, 0.259, 0.877)



No. 7
The following is a PBE-GGA calculation of a relaxed structure of SrYSiN3, from the Alexandria database.

Results
Uncorrected energy (eV per atom): -7.3573
Magnetization (μB/cell): 0.00
Volume (Å³/cell): 166.7
Fermi-level density of states (states/eV/f.u.): 1.59

Lattice parameters (Å, degrees): 6.595 6.595 7.252 105.45 105.45 33.39
Positions (direct):
Sr (0.148, 0.148, 0.072)
Sr (0.852, 0.852, 0.928)
Y (0.151, 0.151, 0.576)
Y (0.849, 0.849, 0.424)
Si (0.497, 0.497, 0.728)
Si (0.503, 0.503, 0.272)
N (0.004, 0.004, 0.284)
N (0.347, 0.347, 0.657)
N (0.356, 0.356, 0.200)
N (0.644, 0.644, 0.800)
N (0.653, 0.653, 0.343)
N (0.996, 0.996, 0.716)



No. 8
The following is a PBE-GGA calculation of a relaxed structure of SrYSiN2, from the Alexandria database.

Results
Uncorrected energy (eV per atom): -5.5556
Magnetization (μB/cell): 1.22
Volume (Å³/cell): 111.9
Fermi-level density of states (states/eV/f.u.): 2.96

Lattice parameters (Å, degrees): 4.586 4.586 5.319 90.00 90.00 90.00
Positions (direct):
Sr (0.000, 0.000, 0.000)
Y (0.500, 0.500, 0.500)
Si (0.500, 0.500, 0.000)
N (0.000, 0.500, 0.500)
N (0.500, 0.000, 0.500)



No. 9
The following is a PBE-GGA calculation of a relaxed structure of SrY2SiN4, from the Alexandria database.

Results
Uncorrected energy (eV per atom): -7.9989
Magnetization (μB/cell): 0.00
Volume (Å³/cell): 233.8

Lattice parameters (Å, degrees): 6.190 6.190 11.666 90.00 90.00 148.47
Positions (direct):
Sr (0.092, 0.908, 0.750)
Sr (0.908, 0.092, 0.250)
Y (0.369, 0.631, 0.540)
Y (0.369, 0.631, 0.960)
Y (0.631, 0.369, 0.040)
Y (0.631, 0.369, 0.460)
Si (0.183, 0.817, 0.250)
Si (0.817, 0.183, 0.750)
N (0.000, 0.000, 0.000)
N (0.000, 0.000, 0.500)
N (0.260, 0.740, 0.126)
N (0.260, 0.740, 0.374)
N (0.400, 0.600, 0.750)
N (0.600, 0.400, 0.250)
N (0.740, 0.260, 0.626)
N (0.740, 0.260, 0.874)



No. 10
The following is a PBE-GGA calculation of a relaxed structure of SrYSi4N7, from the Alexandria database.

Results
Uncorrected energy (eV per atom): -8.0376
Magnetization (μB/cell): 0.00
Volume (Å³/cell): 314.6
Fermi-level density of states (states/eV/f.u.): 0.00

Lattice parameters (Å, degrees): 6.061 6.061 9.887 90.00 90.00 120.00
Positions (direct):
Sr (0.333, 0.667, 0.000)
Sr (0.667, 0.333, 0.500)
Y (0.333, 0.667, 0.369)
Y (0.667, 0.333, 0.869)
Si (0.000, 0.000, 0.446)
Si (0.000, 0.000, 0.946)
Si (0.174, 0.348, 0.678)
Si (0.174, 0.826, 0.678)
Si (0.348, 0.174, 0.178)
Si (0.652, 0.826, 0.678)
Si (0.826, 0.174, 0.178)
Si (0.826, 0.652, 0.178)
N (0.000, 0.000, 0.255)
N (0.000, 0.000, 0.755)
N (0.023, 0.512, 0.730)
N (0.153, 0.306, 0.506)
N (0.153, 0.847, 0.506)
N (0.306, 0.153, 0.006)
N (0.488, 0.512, 0.730)
N (0.488, 0.977, 0.730)
N (0.512, 0.023, 0.230)
N (0.512, 0.488, 0.230)
N (0.694, 0.847, 0.506)
N (0.847, 0.153, 0.006)
N (0.847, 0.694, 0.006)
N (0.977, 0.488, 0.230)



No. 11
The following is a PBE-GGA calculation of a relaxed structure of TaSiN2, from the Alexandria database.

Results
Uncorrected energy (eV per atom): -8.9415
Magnetization (μB/cell): 0.00
Volume (Å³/cell): 90.1
Fermi-level density of states (states/eV/f.u.): 1.72

Lattice parameters (Å, degrees): 5.332 5.332 5.332 128.58 128.58 75.69
Positions (direct):
Ta (0.000, 0.000, 0.000)
Ta (0.750, 0.250, 0.500)
Si (0.250, 0.750, 0.500)
Si (0.500, 0.500, 0.000)
N (0.197, 0.625, 0.072)
N (0.375, 0.447, 0.572)
N (0.553, 0.125, 0.928)
N (0.875, 0.803, 0.428)



Asked for raw formation energy across the records above, the calculation gives -0.2714 1.0990 -0.3442 0.4932 1.7587 -1.4173 -0.9331 0.4883 -1.3320 -1.2595 -0.4599 eV per atom in order.